No. 1
A plane-wave DFT calculation with GGA-PBE was carried out for an optimized crystal structure of Nd2Y7Sc.

## Properties
DOS(E_F) = 1.615 states/eV/atom
total magnetization = 0.00 μB/cell

Cell lengths 6.524, 28.865, 3.479 Å; angles 90.00, 90.00, 90.00 degrees
Space group Cmmm (No. 65)
Inequivalent atoms, fractional coordinates:
Nd 0.000 0.207 0.000 (multiplicity 4)
Y 0.000 0.000 0.000 (multiplicity 2)
Y 0.000 0.315 0.500 (multiplicity 4)
Y 0.243 0.404 0.000 (multiplicity 8)
Sc 0.000 0.500 0.500 (multiplicity 2)



No. 2
A plane-wave DFT calculation with GGA-PBE was carried out for an optimized crystal structure of Nd9YSc2.

## Properties
DOS(E_F) = 1.451 states/eV/atom
total magnetization = 0.00 μB/cell

Cell lengths 5.088, 5.088, 15.278 Å; angles 90.00, 90.00, 90.00 degrees
Space group P4/mmm (No. 123)
Inequivalent atoms, fractional coordinates:
Nd 0.000 0.000 0.000 (multiplicity 1)
Nd 0.000 0.000 0.336 (multiplicity 2)
Nd 0.000 0.500 0.172 (multiplicity 4)
Nd 0.000 0.500 0.500 (multiplicity 2)
Y 0.500 0.500 0.000 (multiplicity 1)
Sc 0.500 0.500 0.336 (multiplicity 2)



No. 3
A plane-wave DFT calculation with GGA-PBE was carried out for an optimized crystal structure of NdYSc6.

## Properties
DOS(E_F) = 1.909 states/eV/atom
total magnetization = 4.00 μB/cell

Cell lengths 5.354, 6.804, 11.788 Å; angles 90.00, 90.00, 90.00 degrees
Space group Amm2 (No. 38)
Inequivalent atoms, fractional coordinates:
Nd 0.000 0.000 0.000 (multiplicity 2)
Y 0.500 0.000 0.335 (multiplicity 2)
Sc 0.000 0.000 0.506 (multiplicity 2)
Sc 0.000 0.244 0.748 (multiplicity 4)
Sc 0.500 0.000 0.829 (multiplicity 2)
Sc 0.500 0.243 0.587 (multiplicity 4)



No. 4
A plane-wave DFT calculation with GGA-PBE was carried out for an optimized crystal structure of Nd2Y12Sc5.

## Properties
DOS(E_F) = 1.897 states/eV/atom
total magnetization = 0.00 μB/cell

Cell lengths 13.156, 10.960, 8.389 Å; angles 90.00, 100.54, 90.00 degrees
Space group C2/m (No. 12)
Inequivalent atoms, fractional coordinates:
Nd 0.000 0.217 0.000 (multiplicity 4)
Y 0.078 0.000 0.706 (multiplicity 4)
Y 0.114 0.237 0.399 (multiplicity 8)
Y 0.146 0.500 0.136 (multiplicity 4)
Y 0.182 0.295 0.807 (multiplicity 8)
Sc 0.000 0.500 0.500 (multiplicity 2)
Sc 0.144 0.000 0.119 (multiplicity 4)
Sc 0.236 0.500 0.531 (multiplicity 4)



No. 5
A plane-wave DFT calculation with GGA-PBE was carried out for an optimized crystal structure of NdY4Sc2.

## Properties
DOS(E_F) = 1.505 states/eV/atom
energy relative to the lowest polymorph listed for this composition = 48 meV per atom
total magnetization = 0.00 μB/cell

Cell lengths 5.840, 3.519, 10.986 Å; angles 90.00, 99.40, 90.00 degrees
Space group P2/m (No. 10)
Inequivalent atoms, fractional coordinates:
Nd 0.000 0.000 0.000 (multiplicity 1)
Y 0.088 0.500 0.270 (multiplicity 2)
Y 0.432 0.000 0.783 (multiplicity 2)
Sc 0.000 0.000 0.500 (multiplicity 1)
Sc 0.500 0.500 0.500 (multiplicity 1)



No. 6
A plane-wave DFT calculation with GGA-PBE was carried out for an optimized crystal structure of NdY2Sc5.

## Properties
DOS(E_F) = 1.821 states/eV/atom
total magnetization = 0.00 μB/cell

Cell lengths 6.849, 6.849, 9.358 Å; angles 90.00, 90.00, 90.00 degrees
Space group I4/mmm (No. 139)
Inequivalent atoms, fractional coordinates:
Nd 0.000 0.000 0.000 (multiplicity 2)
Y 0.000 0.500 0.000 (multiplicity 4)
Sc 0.000 0.000 0.500 (multiplicity 2)
Sc 0.250 0.250 0.250 (multiplicity 8)



Result set for VASP energy: -5.94 -5.14 -6.17 -6.10 -5.99 -6.10 eV per atom, one per record in the order listed.